## P
! PBE-GGA GeAsO2, optimized geometry; values from VASP
&SYSTEM
  ibrav = 0, nat = 8, ntyp = 3
/
ATOMIC_SPECIES
O 16.00 O.upf
As 74.92 As.upf
Ge 72.64 Ge.upf
CELL_PARAMETERS angstrom
-1.866 -0.028 3.853
0.383 -4.261 0.154
4.976 -1.530 4.777
ATOMIC_POSITIONS crystal
O 0.375 0.364 0.750
O 0.636 0.125 0.250
O 0.875 0.886 0.750
O 0.114 0.625 0.250
As 0.750 0.250 0.500
As 0.000 0.000 0.000
Ge 0.500 0.500 0.000
Ge 0.250 0.750 0.500
! - Total moment: 0.00 μB per formula unit

## Q
! PBE-GGA GeAsO2, optimized geometry; values from VASP
&SYSTEM
  ibrav = 0, nat = 4, ntyp = 3
/
ATOMIC_SPECIES
As 74.92 As.upf
Ge 72.64 Ge.upf
O 16.00 O.upf
CELL_PARAMETERS angstrom
2.514 -0.910 3.114
1.369 2.978 2.470
-1.353 0.242 3.867
ATOMIC_POSITIONS crystal
As 0.500 0.500 0.500
Ge 0.000 0.000 0.000
O 0.750 0.750 0.750
O 0.250 0.250 0.250
! - Total moment: 0.00 μB per formula unit

Relative energy of each structure, in meV per atom: P 0; Q 318.

## P
! PBE-GGA Ge2As2O, optimized geometry; values from VASP
&SYSTEM
  ibrav = 0, nat = 10, ntyp = 3
/
ATOMIC_SPECIES
As 74.92 As.upf
Ge 72.64 Ge.upf
O 16.00 O.upf
CELL_PARAMETERS angstrom
-4.954 -0.410 -2.935
-2.930 -0.188 4.971
-0.415 5.329 -0.043
ATOMIC_POSITIONS crystal
As 0.678 0.822 0.000
As 0.322 0.178 0.000
As 0.178 0.678 0.000
As 0.822 0.322 0.000
Ge 0.236 0.736 0.500
Ge 0.264 0.236 0.500
Ge 0.736 0.764 0.500
Ge 0.764 0.264 0.500
O 0.500 0.500 0.000
O 0.000 0.000 0.000
! - Total moment: 0.00 μB per formula unit

## Q
! PBE-GGA Ge2As2O, optimized geometry; values from VASP
&SYSTEM
  ibrav = 0, nat = 5, ntyp = 3
/
ATOMIC_SPECIES
Ge 72.64 Ge.upf
As 74.92 As.upf
O 16.00 O.upf
CELL_PARAMETERS angstrom
-0.190 1.622 -3.516
0.674 -3.453 -1.629
-5.939 -2.036 -2.756
ATOMIC_POSITIONS crystal
Ge 0.750 0.250 0.500
Ge 0.250 0.750 0.500
As 0.395 0.395 0.210
As 0.605 0.605 0.790
O 0.000 0.000 0.000
! - Total moment: 0.00 μB per formula unit

Relative energy of each structure, in meV per atom: P 0; Q 396.